VASP calculation (PBE-GGA) on a geometry-optimized Tl2ZnIn12 structure.

Structure (POSCAR):
```
Tl2ZnIn12
1.0
6.7375 0.0000 0.0000
0.0000 6.7375 0.0000
0.0000 0.0000 18.8858
In Tl Zn
24 4 2
Cartesian
0.0000 0.0000 3.5168
5.0482 1.6794 17.2552
1.6794 1.6893 17.2552
3.3688 3.3688 15.3690
4.5124 1.1437 8.1325
1.1437 2.2251 8.1325
0.0000 0.0000 12.4955
4.5124 5.5939 10.7534
1.6893 1.6794 1.6306
1.6794 5.0482 1.6306
0.0000 0.0000 6.3903
1.6893 5.0581 17.2552
5.0581 1.6893 1.6306
2.2251 1.1437 10.7534
0.0000 0.0000 15.3690
1.1437 4.5124 10.7534
5.5939 4.5124 8.1325
5.5939 2.2251 10.7534
2.2251 5.5939 8.1325
3.3688 3.3688 3.5168
5.0482 5.0581 1.6306
3.3688 3.3688 6.3903
3.3688 3.3688 12.4955
5.0581 5.0482 17.2552
0.0000 3.3688 13.9359
3.3688 0.0000 13.9359
0.0000 3.3688 4.9499
3.3688 0.0000 4.9499
3.3688 0.0000 0.0000
0.0000 3.3688 0.0000
```

Values from the calculation:
Its energy relative to the elements is 0.052 eV per atom. The symmetry is No. 125. As for the density of states at the Fermi level: 12.5 states/eV per cell. The value obtained for the volume is 28.58 Å³/atom.

VASP calculation (PBE-GGA) on a geometry-optimized TlZn2In structure.

Structure (POSCAR):
```
TlZn2In
1.0
-1.4420 -1.8047 -3.3738
-2.3539 -3.3290 0.3091
-6.7868 2.2168 -0.7629
Tl Zn In
1 2 1
Cartesian
-5.3293 -1.4314 -1.9120
-2.5871 -0.7709 -0.9596
-5.4595 1.2726 -0.8251
-9.2847 -1.2289 -2.8075
```

Values from the calculation:
Its relative energy among the computed polymorphs is 9.1 kJ per mole of atoms. Its energy relative to the elements is 0.196 eV per atom. The symmetry is No. 160. As for the density of states at the Fermi level: 1.3 states/eV per cell. The value obtained for the volume is 24.55 Å³/atom.

VASP calculation (PBE-GGA) on a geometry-optimized TlZnIn structure.

Structure (POSCAR):
```
TlZnIn
1.0
3.3742 0.1019 0.1148
-1.5283 6.3960 -0.2814
0.0536 -4.5818 7.0736
In Tl Zn
2 2 2
Cartesian
2.5137 0.8913 0.2494
0.8740 3.3329 1.5640
1.0588 -1.7826 4.9851
2.3670 1.4206 3.9019
-0.6613 0.1987 6.5249
0.7262 -0.6583 2.2465
```

Values from the calculation:
Its energy relative to the elements is 0.099 eV per atom. The symmetry is No. 1. As for the density of states at the Fermi level: 2.2 states/eV per cell. The value obtained for the volume is 25.03 Å³/atom.

VASP calculation (PBE-GGA) on a geometry-optimized TlZn4In structure.

Structure (POSCAR):
```
TlZn4In
1.0
0.0388 -2.2027 5.0787
2.1359 2.8511 4.2374
-3.3308 2.0355 3.9255
Zn In Tl
4 1 1
Cartesian
0.6339 2.4316 7.0841
-2.0983 2.0240 6.9282
-0.4336 1.0066 4.9663
-0.4142 -0.0943 7.5046
-0.8671 2.0130 9.9312
0.0000 0.0000 0.0000
```

Values from the calculation:
Its energy relative to the elements is 0.121 eV per atom. The symmetry is No. 216. As for the density of states at the Fermi level: 2.7 states/eV per cell. The value obtained for the volume is 19.99 Å³/atom.

Taking the records one at a time from the top gives uncorrected energy values of -2.54; -1.72; -2.03; -1.58 eV per atom.